1.
# NdCd6Hg12 PBE optimized geometry
# E_form = -0.85 eV per formula unit
# Size of the total moment = 0.0 μB/cell
# E above lowest polymorph = 6 meV/atom
# Crystal system = trigonal
# Total energy = -0.775 eV/atom
# Volume = 500 Å³ per cell
# DOS(E_F) = 0.34 states/eV/atom
data_NdCd6Hg12
_space_group_name_H-M_alt 'P 1'
_space_group_IT_number 1
_cell_length_a 7.9433
_cell_length_b 7.9433
_cell_length_c 7.9433
_cell_angle_alpha 92.41
_cell_angle_beta 92.41
_cell_angle_gamma 92.41
loop_
_space_group_symop_operation_xyz
'x,y,z'
loop_
_atom_site_label
_atom_site_type_symbol
_atom_site_fract_x
_atom_site_fract_y
_atom_site_fract_z
Nd1 Nd 0.0000 0.0000 0.0000
Cd1 Cd 0.1322 0.2788 0.7265
Cd2 Cd 0.2735 0.8678 0.7212
Cd3 Cd 0.2788 0.7265 0.1322
Cd4 Cd 0.7212 0.2735 0.8678
Cd5 Cd 0.7265 0.1322 0.2788
Cd6 Cd 0.8678 0.7212 0.2735
Hg1 Hg 0.0350 0.3771 0.1496
Hg2 Hg 0.1496 0.0350 0.3771
Hg3 Hg 0.2018 0.5483 0.4670
Hg4 Hg 0.3771 0.1496 0.0350
Hg5 Hg 0.4517 0.5330 0.7982
Hg6 Hg 0.4670 0.2018 0.5483
Hg7 Hg 0.5330 0.7982 0.4517
Hg8 Hg 0.5483 0.4670 0.2018
Hg9 Hg 0.6229 0.8504 0.9650
Hg10 Hg 0.7982 0.4517 0.5330
Hg11 Hg 0.8504 0.9650 0.6229
Hg12 Hg 0.9650 0.6229 0.8504

2.
# Ce4Si2Au PBE optimized geometry
# Size of the total moment = 4.0 μB/cell
# Crystal system = trigonal
# Total energy = -5.746 eV/atom
# Volume = 186 Å³ per cell
# DOS(E_F) = 3.16 states/eV/atom
data_Ce4Si2Au
_space_group_name_H-M_alt 'P 1'
_space_group_IT_number 1
_cell_length_a 9.7759
_cell_length_b 9.7759
_cell_length_c 9.7759
_cell_angle_alpha 28.37
_cell_angle_beta 28.37
_cell_angle_gamma 28.37
loop_
_space_group_symop_operation_xyz
'x,y,z'
loop_
_atom_site_label
_atom_site_type_symbol
_atom_site_fract_x
_atom_site_fract_y
_atom_site_fract_z
Ce1 Ce 0.1156 0.1156 0.1156
Ce2 Ce 0.3022 0.3022 0.3022
Ce3 Ce 0.6978 0.6978 0.6978
Ce4 Ce 0.8844 0.8844 0.8844
Si1 Si 0.4080 0.4080 0.4080
Si2 Si 0.5920 0.5920 0.5920
Au1 Au 0.5000 0.5000 0.5000

3.
# SmPa3N4 PBE optimized geometry
# Size of the total moment = 0.0 μB/cell
# Crystal system = orthorhombic
# Total energy = -9.918 eV/atom
# Volume = 123 Å³ per cell
# DOS(E_F) = 0.56 states/eV/atom
data_SmPa3N4
_space_group_name_H-M_alt 'P 1'
_space_group_IT_number 1
_cell_length_a 6.0869
_cell_length_b 6.0869
_cell_length_c 3.5229
_cell_angle_alpha 90.00
_cell_angle_beta 90.00
_cell_angle_gamma 109.51
loop_
_space_group_symop_operation_xyz
'x,y,z'
loop_
_atom_site_label
_atom_site_type_symbol
_atom_site_fract_x
_atom_site_fract_y
_atom_site_fract_z
Sm1 Sm 0.0000 0.0000 0.0000
Pa1 Pa 0.0000 0.5000 0.5000
Pa2 Pa 0.5000 0.0000 0.5000
Pa3 Pa 0.5000 0.5000 0.0000
N1 N 0.2542 0.7458 0.0000
N2 N 0.2628 0.2628 0.5000
N3 N 0.7372 0.7372 0.5000
N4 N 0.7458 0.2542 0.0000

4.
# LiZnGa2Cu PBE optimized geometry
# E_form = 2.16 eV per formula unit
# Size of the total moment = 0.0 μB/cell
# Crystal system = tetragonal
# Total energy = -2.235 eV/atom
# Volume = 103 Å³ per cell
# DOS(E_F) = 0.42 states/eV/atom
data_LiZnGa2Cu
_space_group_name_H-M_alt 'P 1'
_space_group_IT_number 1
_cell_length_a 4.7064
_cell_length_b 4.7064
_cell_length_c 4.6656
_cell_angle_alpha 90.00
_cell_angle_beta 90.00
_cell_angle_gamma 90.00
loop_
_space_group_symop_operation_xyz
'x,y,z'
loop_
_atom_site_label
_atom_site_type_symbol
_atom_site_fract_x
_atom_site_fract_y
_atom_site_fract_z
Li1 Li 0.0000 0.0000 0.0000
Zn1 Zn 0.0000 0.0000 0.5000
Ga1 Ga 0.0000 0.5000 0.5000
Ga2 Ga 0.5000 0.0000 0.5000
Cu1 Cu 0.5000 0.5000 0.0000

5.
# TbPmTcHg PBE optimized geometry
# E_form = -0.39 eV per formula unit
# Size of the total moment = 0.0 μB/cell
# Crystal system = cubic
# Total energy = -5.110 eV/atom
# Volume = 94 Å³ per cell
# DOS(E_F) = 0.71 states/eV/atom
data_TbPmTcHg
_space_group_name_H-M_alt 'P 1'
_space_group_IT_number 1
_cell_length_a 5.1116
_cell_length_b 5.1116
_cell_length_c 5.1116
_cell_angle_alpha 60.00
_cell_angle_beta 60.00
_cell_angle_gamma 60.00
loop_
_space_group_symop_operation_xyz
'x,y,z'
loop_
_atom_site_label
_atom_site_type_symbol
_atom_site_fract_x
_atom_site_fract_y
_atom_site_fract_z
Tb1 Tb 0.0000 0.0000 0.0000
Pm1 Pm 0.5000 0.5000 0.5000
Tc1 Tc 0.2500 0.2500 0.2500
Hg1 Hg 0.7500 0.7500 0.7500

6.
# PmNbIr2 PBE optimized geometry
# E_form = -1.64 eV per formula unit
# Size of the total moment = 0.0 μB/cell
# E above lowest polymorph = 66 meV/atom
# Crystal system = trigonal
# Total energy = -8.546 eV/atom
# Volume = 84 Å³ per cell
# DOS(E_F) = 1.07 states/eV/atom
data_PmNbIr2
_space_group_name_H-M_alt 'P 1'
_space_group_IT_number 1
_cell_length_a 5.6359
_cell_length_b 5.6359
_cell_length_c 5.6359
_cell_angle_alpha 45.90
_cell_angle_beta 45.90
_cell_angle_gamma 45.90
loop_
_space_group_symop_operation_xyz
'x,y,z'
loop_
_atom_site_label
_atom_site_type_symbol
_atom_site_fract_x
_atom_site_fract_y
_atom_site_fract_z
Pm1 Pm 0.0000 0.0000 0.0000
Nb1 Nb 0.5000 0.5000 0.5000
Ir1 Ir 0.2141 0.2141 0.2141
Ir2 Ir 0.7859 0.7859 0.7859

7.
# CaAs3F PBE optimized geometry
# Size of the total moment = 0.0 μB/cell
# E above lowest polymorph = 0 meV/atom
# Crystal system = cubic
# Total energy = -3.945 eV/atom
# Volume = 101 Å³ per cell
# DOS(E_F) = 0.51 states/eV/atom
data_CaAs3F
_space_group_name_H-M_alt 'P 1'
_space_group_IT_number 1
_cell_length_a 4.6521
_cell_length_b 4.6521
_cell_length_c 4.6521
_cell_angle_alpha 90.00
_cell_angle_beta 90.00
_cell_angle_gamma 90.00
loop_
_space_group_symop_operation_xyz
'x,y,z'
loop_
_atom_site_label
_atom_site_type_symbol
_atom_site_fract_x
_atom_site_fract_y
_atom_site_fract_z
Ca1 Ca 0.0000 0.0000 0.0000
As1 As 0.0000 0.5000 0.5000
As2 As 0.5000 0.0000 0.5000
As3 As 0.5000 0.5000 0.0000
F1 F 0.5000 0.5000 0.5000

8.
# Ta3CuRh PBE optimized geometry
# E_form = 6.49 eV per formula unit
# Size of the total moment = 0.0 μB/cell
# E above lowest polymorph = 83 meV/atom
# Crystal system = cubic
# Total energy = -8.102 eV/atom
# Volume = 109 Å³ per cell
# DOS(E_F) = 0.70 states/eV/atom
data_Ta3CuRh
_space_group_name_H-M_alt 'P 1'
_space_group_IT_number 1
_cell_length_a 4.7823
_cell_length_b 4.7823
_cell_length_c 4.7823
_cell_angle_alpha 90.00
_cell_angle_beta 90.00
_cell_angle_gamma 90.00
loop_
_space_group_symop_operation_xyz
'x,y,z'
loop_
_atom_site_label
_atom_site_type_symbol
_atom_site_fract_x
_atom_site_fract_y
_atom_site_fract_z
Ta1 Ta 0.0000 0.0000 0.5000
Ta2 Ta 0.0000 0.5000 0.0000
Ta3 Ta 0.5000 0.0000 0.0000
Cu1 Cu 0.5000 0.5000 0.5000
Rh1 Rh 0.0000 0.0000 0.0000